# 1
Compound: TlVSbO6
Source: Alexandria
Functional: GGA+U
Structure: relaxed

Unit cell a=5.1866 b=9.2251 c=4.7861 alpha=90.00 beta=90.58 gamma=90.00
Last column: nearest neighbours and their distance in Å.
Space group C2 (No. 5)
Inequivalent atoms, fractional coordinates:
Tl (0.0000, 0.0000, 0.0000) [2 per cell]  6 O 2.30-2.38
V (0.0000, 0.3356, 0.5000) [2 per cell]  6 O 1.92-2.04
Sb (0.0000, 0.6619, 0.5000) [2 per cell]  6 O 1.99-2.03
O (0.1353, 0.4932, 0.2762) [4 per cell]  1 V 1.94, 1 Sb 2.02
O (0.1802, 0.1795, 0.2710) [4 per cell]  1 Sb 1.99, 1 V 2.04
O (0.1913, 0.8149, 0.2801) [4 per cell]  1 V 1.92, 1 Sb 2.03

**Volume**: 229.0 Å³ per cell
**E_tot**: -6.2369 eV/atom



# 2
Compound: TlVSb2O8
Source: Alexandria
Functional: GGA+U
Structure: relaxed

Unit cell a=6.6975 b=6.9850 c=6.4485 alpha=90.00 beta=90.00 gamma=90.00
Last column: nearest neighbours and their distance in Å.
Space group Cmmm (No. 65)
Inequivalent atoms, fractional coordinates:
Tl (0.0000, 0.0000, 0.0000) [2 per cell]  6 O 2.22-2.26
V (0.0000, 0.0000, 0.5000) [2 per cell]  6 O 2.02-2.14
Sb (0.0000, 0.5000, 0.2557) [4 per cell]  6 O 1.98-2.08
O (0.0000, 0.3060, 0.5000) [4 per cell]  2 Sb 2.08, 1 V 2.14
O (0.0000, 0.3235, 0.0000) [4 per cell]  2 Sb 2.06, 1 Tl 2.26
O (0.2054, 0.0000, 0.2704) [8 per cell]  1 Sb 1.98, 1 V 2.02

**Volume**: 301.7 Å³ per cell
**E_tot**: -6.1874 eV/atom



# 3
Compound: TlV2SbO8
Source: Alexandria
Functional: GGA+U
Structure: relaxed

Unit cell a=15.2826 b=5.6544 c=8.9623 alpha=90.00 beta=90.00 gamma=90.00
Last column: nearest neighbours and their distance in Å.
Space group Pnma (No. 62)
Inequivalent atoms, fractional coordinates:
Tl (0.1116, 0.2500, 0.0674) [4 per cell]  5 O 2.70-3.01
V (0.0177, 0.7500, 0.2951) [4 per cell]  4 O 1.65-1.79
V (0.2173, 0.2500, 0.4749) [4 per cell]  4 O 1.64-1.79
Sb (0.1274, 0.7500, 0.6651) [4 per cell]  6 O 1.99-2.00
O (0.0479, 0.5040, 0.7479) [8 per cell]  1 V 1.79, 1 Sb 1.99
O (0.0574, 0.7500, 0.4781) [4 per cell]  1 V 1.75
O (0.0980, 0.7500, 0.1723) [4 per cell]  1 V 1.65
O (0.1313, 0.2500, 0.3662) [4 per cell]  1 V 1.64
O (0.1863, 0.7500, 0.8645) [4 per cell]  1 V 1.77
O (0.2129, 0.5094, 0.5901) [8 per cell]  1 V 1.79, 1 Sb 2.00

**Volume**: 774.5 Å³ per cell
**E above lowest polymorph**: 0.9 kJ/mol of atoms
**E_tot**: -6.7003 eV/atom



# 4
Compound: TlV2SbO8
Source: Alexandria
Functional: GGA+U
Structure: relaxed

Unit cell a=9.0342 b=5.7192 c=8.1713 alpha=90.00 beta=92.96 gamma=90.00
Last column: nearest neighbours and their distance in Å.
Space group C2/m (No. 12)
Inequivalent atoms, fractional coordinates:
Tl (0.0000, 0.0000, 0.0000) [2 per cell]  6 O 3.00
V (0.1337, 0.5000, 0.3025) [4 per cell]  4 O 1.65-1.80
Sb (0.0000, 0.0000, 0.5000) [2 per cell]  6 O 2.00
O (0.0238, 0.2409, 0.3265) [8 per cell]  1 V 1.80, 1 Sb 2.00
O (0.1891, 0.5000, 0.1138) [4 per cell]  1 V 1.65
O (0.2185, 0.0000, 0.5502) [4 per cell]  1 V 1.75

**Volume**: 421.6 Å³ per cell
**E above lowest polymorph**: 0.0 kJ/mol of atoms
**E_tot**: -6.7092 eV/atom



# 5
Compound: Tl2SbWO6
Source: Alexandria
Functional: GGA+U
Structure: relaxed

Unit cell a=8.3235 b=8.3235 c=8.3235 alpha=90.00 beta=90.00 gamma=90.00
Last column: nearest neighbours and their distance in Å.
Space group Fm-3m (No. 225)
Inequivalent atoms, fractional coordinates:
Tl (0.2500, 0.2500, 0.2500) [8 per cell]  12 O 2.94
Sb (0.0000, 0.0000, 0.0000) [4 per cell]  6 O 2.19
W (0.0000, 0.0000, 0.5000) [4 per cell]  6 O 1.97
O (0.0000, 0.0000, 0.2632) [24 per cell]  1 W 1.97, 1 Sb 2.19

**Volume**: 576.7 Å³ per cell
**E_tot**: -5.8702 eV/atom



# 6
Compound: TlSbWO6
Source: Alexandria
Functional: GGA+U
Structure: relaxed

Unit cell a=7.3225 b=10.4283 c=7.4507 alpha=90.00 beta=90.00 gamma=90.00
Last column: nearest neighbours and their distance in Å.
Space group Ima2 (No. 46)
Inequivalent atoms, fractional coordinates:
Tl (0.2500, 0.1470, 0.0000) [4 per cell]  4 O 2.84-3.15
Sb (0.0000, 0.0000, 0.4187) [4 per cell]  6 O 2.00-2.01
W (0.2500, 0.7447, 0.1809) [4 per cell]  6 O 1.88-2.04
O (0.0613, 0.6268, 0.1100) [8 per cell]  1 W 1.92, 1 Sb 2.00
O (0.0620, 0.6269, 0.7253) [8 per cell]  1 W 1.95, 1 Sb 2.01
O (0.2500, 0.0759, 0.4106) [4 per cell]  2 Sb 2.00
O (0.2500, 0.6917, 0.4219) [4 per cell]  2 W 1.88-2.04

**Volume**: 569.0 Å³ per cell
**E_tot**: -6.4418 eV/atom



Question: Which formula does entry 3 have?
Answer: TlV2SbO8



Question: volume of number 3 (TlV2SbO8)?
Answer: 774.5 Å³ per cell



Question: volume of number 5 (Tl2SbWO6)?
Answer: 576.7 Å³ per cell